Entry A
## Zn2CdPb (meta-GGA SCAN)

Data for a PBEsol-optimized structure of Zn2CdPb.

The density of states at the Fermi level is 1.2 states/eV/f.u.

a b c (Å): 3.787 4.195 5.437
angles (deg): 90.00 107.67 90.00
Fractional coordinates of all 4 atoms:
Zn: 0.000 0.000 0.000
Zn: 0.132 0.500 0.284
Cd: 0.718 0.000 0.440
Pb: 0.422 0.500 0.824

=====

Entry B
## Zn2CdPb (meta-GGA SCAN)

Data for a PBEsol-optimized structure of Zn2CdPb.

The density of states at the Fermi level is 1.6 states/eV/f.u.

a b c (Å): 5.179 5.179 5.179
angles (deg): 128.91 128.91 75.16
Fractional coordinates of all 4 atoms:
Zn: 0.250 0.750 0.500
Zn: 0.750 0.250 0.500
Cd: 0.000 0.000 0.000
Pb: 0.500 0.500 0.000

=====

Least stable = entry B

=====

Entry A
## Zn2CdPb2 (meta-GGA SCAN)

Data for a PBEsol-optimized structure of Zn2CdPb2.

The density of states at the Fermi level is 1.8 states/eV/f.u.

a b c (Å): 6.815 6.815 6.815
angles (deg): 141.33 141.33 55.84
Fractional coordinates of all 5 atoms:
Zn: 0.097 0.097 0.000
Zn: 0.903 0.903 0.000
Cd: 0.500 0.500 0.000
Pb: 0.250 0.750 0.500
Pb: 0.750 0.250 0.500

=====

Entry B
## Zn2CdPb2 (meta-GGA SCAN)

Data for a PBEsol-optimized structure of Zn2CdPb2.

The density of states at the Fermi level is 1.9 states/eV/f.u.

a b c (Å): 7.081 7.081 4.495
angles (deg): 90.00 90.00 90.00
Fractional coordinates of all 10 atoms:
Zn: 0.127 0.373 0.000
Zn: 0.373 0.873 0.000
Zn: 0.627 0.127 0.000
Zn: 0.873 0.627 0.000
Cd: 0.000 0.000 0.000
Cd: 0.500 0.500 0.000
Pb: 0.176 0.676 0.500
Pb: 0.324 0.176 0.500
Pb: 0.676 0.824 0.500
Pb: 0.824 0.324 0.500

=====

Least stable = entry A

=====

Entry A
## Cd3PdSe (meta-GGA SCAN)

Data for a PBEsol-optimized structure of Cd3PdSe.

The density of states at the Fermi level is 3.4 states/eV/f.u.

a b c (Å): 5.039 5.039 5.039
angles (deg): 90.00 90.00 90.00
Fractional coordinates of all 5 atoms:
Cd: 0.000 0.000 0.500
Cd: 0.000 0.500 0.000
Cd: 0.500 0.000 0.000
Pd: 0.000 0.000 0.000
Se: 0.500 0.500 0.500

=====

Entry B
## Cd3PdSe (meta-GGA SCAN)

Data for a PBEsol-optimized structure of Cd3PdSe.

The density of states at the Fermi level is 4.3 states/eV/f.u.

a b c (Å): 5.136 5.136 5.136
angles (deg): 90.00 90.00 90.00
Fractional coordinates of all 5 atoms:
Cd: 0.000 0.000 0.500
Cd: 0.000 0.500 0.000
Cd: 0.500 0.000 0.000
Pd: 0.500 0.500 0.500
Se: 0.000 0.000 0.000

=====

Least stable = entry B

=====

Entry A
## ZnCd2Pd2 (meta-GGA SCAN)

Data for a PBEsol-optimized structure of ZnCd2Pd2.

The density of states at the Fermi level is 1.5 states/eV/f.u.

a b c (Å): 7.207 7.207 7.207
angles (deg): 149.82 149.82 43.21
Fractional coordinates of all 5 atoms:
Zn: 0.000 0.000 0.000
Cd: 0.398 0.398 0.000
Cd: 0.602 0.602 0.000
Pd: 0.250 0.750 0.500
Pd: 0.750 0.250 0.500

=====

Entry B
## ZnCd2Pd2 (meta-GGA SCAN)

Data for a PBEsol-optimized structure of ZnCd2Pd2.

The density of states at the Fermi level is 2.2 states/eV/f.u.

a b c (Å): 6.499 6.499 4.078
angles (deg): 90.00 90.00 90.00
Fractional coordinates of all 10 atoms:
Zn: 0.000 0.000 0.000
Zn: 0.500 0.500 0.000
Cd: 0.159 0.341 0.500
Cd: 0.341 0.841 0.500
Cd: 0.659 0.159 0.500
Cd: 0.841 0.659 0.500
Pd: 0.146 0.646 0.000
Pd: 0.354 0.146 0.000
Pd: 0.646 0.854 0.000
Pd: 0.854 0.354 0.000

=====

Least stable = entry A

=====

Entry A
## CdPt4 (meta-GGA SCAN)

Data for a PBEsol-optimized structure of CdPt4.

The density of states at the Fermi level is 4.7 states/eV/f.u.

a b c (Å): 5.038 5.038 5.038
angles (deg): 109.47 109.47 109.47
Fractional coordinates of all 5 atoms:
Cd: 0.000 0.000 0.000
Pt: 0.000 0.000 0.500
Pt: 0.000 0.500 0.000
Pt: 0.500 0.000 0.000
Pt: 0.500 0.500 0.500

=====

Entry B
## CdPt4 (meta-GGA SCAN)

Data for a PBEsol-optimized structure of CdPt4.

The density of states at the Fermi level is 4.3 states/eV/f.u.

a b c (Å): 4.854 4.854 4.854
angles (deg): 99.71 99.71 131.51
Fractional coordinates of all 5 atoms:
Cd: 0.000 0.000 0.000
Pt: 0.196 0.400 0.596
Pt: 0.400 0.804 0.204
Pt: 0.600 0.196 0.796
Pt: 0.804 0.600 0.404

=====

Least stable = entry A

=====

Entry A
## CdRePt (meta-GGA SCAN)

Data for a PBEsol-optimized structure of CdRePt.

The density of states at the Fermi level is 2.5 states/eV/f.u.

a b c (Å): 2.807 2.807 6.991
angles (deg): 90.00 90.00 120.00
Fractional coordinates of all 3 atoms:
Cd: 0.000 0.000 0.000
Re: 0.667 0.333 0.352
Pt: 0.333 0.667 0.654

=====

Entry B
## CdRePt (meta-GGA SCAN)

Data for a PBEsol-optimized structure of CdRePt.

The density of states at the Fermi level is 3.0 states/eV/f.u.

a b c (Å): 4.310 4.310 4.310
angles (deg): 60.00 60.00 60.00
Fractional coordinates of all 3 atoms:
Cd: 0.000 0.000 0.000
Re: 0.250 0.250 0.250
Pt: 0.500 0.500 0.500

=====

Least stable = entry B

=====

Entry A
## CdRuPt (meta-GGA SCAN)

Data for a PBEsol-optimized structure of CdRuPt.

The density of states at the Fermi level is 2.4 states/eV/f.u.

a b c (Å): 2.800 2.800 6.850
angles (deg): 90.00 90.00 120.00
Fractional coordinates of all 3 atoms:
Cd: 0.000 0.000 0.000
Ru: 0.667 0.333 0.343
Pt: 0.333 0.667 0.649

=====

Entry B
## CdRuPt (meta-GGA SCAN)

Data for a PBEsol-optimized structure of CdRuPt.

The density of states at the Fermi level is 2.2 states/eV/f.u.

a b c (Å): 6.390 6.390 6.390
angles (deg): 154.93 154.93 35.76
Fractional coordinates of all 3 atoms:
Cd: 0.000 0.000 0.000
Ru: 0.674 0.674 0.000
Pt: 0.321 0.321 0.000

=====

Least stable = entry A